Run i
# Hf3MoAs | Alexandria via LeMat-Bulk | PBE-GGA | relaxed
# crystal system	cubic
# size of the total moment	0.0000	μB per atom
data_Hf3MoAs
_space_group_name_H-M_alt 'P m -3 m'
_space_group_IT_number 221
_space_group_name_Hall '-P 4 2 3'
_cell_length_a 4.9859
_cell_length_b 4.9859
_cell_length_c 4.9859
_cell_angle_alpha 90.00
_cell_angle_beta 90.00
_cell_angle_gamma 90.00
loop_
_atom_site_label
_atom_site_fract_x
_atom_site_fract_y
_atom_site_fract_z
Hf1 0.0000 0.0000 0.5000
Mo1 0.0000 0.0000 0.0000
As1 0.5000 0.5000 0.5000

Run ii
# Hf3MoAs | Alexandria via LeMat-Bulk | PBE-GGA | relaxed
# crystal system	cubic
# size of the total moment	0.0000	μB per atom
data_Hf3MoAs
_space_group_name_H-M_alt 'P m -3 m'
_space_group_IT_number 221
_space_group_name_Hall '-P 4 2 3'
_cell_length_a 4.8642
_cell_length_b 4.8642
_cell_length_c 4.8642
_cell_angle_alpha 90.00
_cell_angle_beta 90.00
_cell_angle_gamma 90.00
loop_
_atom_site_label
_atom_site_fract_x
_atom_site_fract_y
_atom_site_fract_z
Hf1 0.0000 0.0000 0.5000
Mo1 0.5000 0.5000 0.5000
As1 0.0000 0.0000 0.0000

Which structure is most stable? run ii, by 0.222 eV/atom over the runner-up.